[1]
Compound: TbScGaHg
Source: Alexandria
Functional: PBE-GGA
Structure: optimized geometry

Computed properties:
space group = F-43m (216)
total magnetization = 0.29 μB/cell
energy relative to the elements = -0.491 eV per atom
energy = -16.253 eV/f.u.

Cell and atoms, written as POSCAR:
```
TbScGaHg
1.0
-1.4794 -4.0706 2.5974
3.3807 -2.6978 2.6074
-0.0395 0.1032 5.0491
Ga Hg Tb Sc
1 1 1 1
Cartesian
0.4654 -1.6663 2.5635
1.3963 -4.9989 7.6904
0.0000 0.0000 0.0000
0.9309 -3.3326 5.1269
```

***

[2]
Compound: ScTiGaHg
Source: Alexandria
Functional: PBE-GGA
Structure: optimized geometry

Computed properties:
space group = F-43m (216)
total magnetization = 0.00 μB/cell
energy relative to the elements = -0.286 eV per atom
energy = -18.700 eV/f.u.

Cell and atoms, written as POSCAR:
```
ScTiGaHg
1.0
4.7465 0.0000 0.0000
2.3733 4.1106 0.0000
2.3733 1.3702 3.8755
Hg Ti Ga Sc
1 1 1 1
Cartesian
7.1198 4.1106 2.9066
4.7465 2.7404 1.9378
2.3733 1.3702 0.9689
0.0000 0.0000 0.0000
```

***

[3]
Compound: Sc4Tl2GaHg
Source: Alexandria
Functional: PBE-GGA
Structure: optimized geometry

Computed properties:
space group = R-3m (166)
total magnetization = 0.00 μB/cell
energy relative to the elements = -0.363 eV per atom
energy = -36.291 eV/f.u.

Cell and atoms, written as POSCAR:
```
Sc4Tl2GaHg
1.0
4.9978 0.0000 0.0000
2.4989 4.3282 0.0000
2.4989 1.4427 8.1262
Tl Sc Ga Hg
2 4 1 1
Cartesian
2.4989 1.4427 1.9644
7.4966 4.3282 6.1618
4.9978 2.8855 7.0256
7.4966 4.3282 3.1106
2.4989 1.4427 5.0156
4.9978 2.8855 1.1006
4.9978 2.8855 4.0631
0.0000 0.0000 0.0000
```

***

What did the third record say?
Compound: Sc4Tl2GaHg
Source: Alexandria
Functional: PBE-GGA
Structure: optimized geometry

Computed properties:
space group = R-3m (166)
total magnetization = 0.00 μB/cell
energy relative to the elements = -0.363 eV per atom
energy = -36.291 eV/f.u.

Cell and atoms, written as POSCAR:
```
Sc4Tl2GaHg
1.0
4.9978 0.0000 0.0000
2.4989 4.3282 0.0000
2.4989 1.4427 8.1262
Tl Sc Ga Hg
2 4 1 1
Cartesian
2.4989 1.4427 1.9644
7.4966 4.3282 6.1618
4.9978 2.8855 7.0256
7.4966 4.3282 3.1106
2.4989 1.4427 5.0156
4.9978 2.8855 1.1006
4.9978 2.8855 4.0631
0.0000 0.0000 0.0000
```

***

Question: Which of these has the highest energy relative to the elements?
Answer: ScTiGaHg